# 1
Compound: Ac4Sb2AsI
Source: the Alexandria database
Functional: PBE-GGA
Structure: optimized geometry

Computed properties:
**Formation energy from raw total energies**: -9.9 eV per formula unit

Unit cell a=4.7299 b=8.0883 c=8.2662 alpha=70.47 beta=90.00 gamma=90.00
Positions (direct):
Ac 0.0000 0.7562 0.7294
Ac 0.0000 0.2438 0.2706
Ac 0.5000 0.7442 0.2684
Ac 0.5000 0.2558 0.7316
Sb 0.0000 0.0000 0.0000
Sb 0.5000 0.0000 0.5000
As 0.0000 0.5000 0.5000
I 0.5000 0.5000 0.0000

---

# 2
Compound: Ac6Sb2As3I
Source: the Alexandria database
Functional: PBE-GGA
Structure: optimized geometry

Computed properties:
**Formation energy from raw total energies**: -16.2 eV per formula unit

Unit cell a=4.6355 b=9.4033 c=10.4668 alpha=104.02 beta=102.79 gamma=90.00
Positions (direct):
Ac 0.3239 0.9224 0.6479
Ac 0.6646 0.5895 0.3293
Ac 0.6761 0.0776 0.3521
Ac 0.9958 0.2759 0.9916
Ac 0.0042 0.7241 0.0084
Ac 0.3354 0.4105 0.6707
Sb 0.8360 0.6727 0.6720
Sb 0.1640 0.3273 0.3280
As 0.5000 0.5000 0.0000
As 0.8354 0.1662 0.6708
As 0.1646 0.8338 0.3292
I 0.5000 0.0000 0.0000

---

# 3
Compound: Ac6Sb3As2I
Source: the Alexandria database
Functional: PBE-GGA
Structure: optimized geometry

Computed properties:
**Formation energy from raw total energies**: -15.4 eV per formula unit

Unit cell a=4.7052 b=9.4288 c=10.4863 alpha=102.07 beta=102.96 gamma=90.00
Positions (direct):
Ac 0.3246 0.8982 0.6493
Ac 0.6704 0.5761 0.3408
Ac 0.6754 0.1018 0.3507
Ac 0.0078 0.2694 0.0157
Ac 0.9922 0.7306 0.9843
Ac 0.3296 0.4239 0.6592
Sb 0.5000 0.5000 0.0000
Sb 0.8399 0.1647 0.6797
Sb 0.1601 0.8353 0.3203
As 0.8322 0.6668 0.6645
As 0.1678 0.3332 0.3355
I 0.5000 0.0000 0.0000

---

# 4
Compound: Ac4AsSeI2
Source: the Alexandria database
Functional: PBE-GGA
Structure: optimized geometry

Computed properties:
**Formation energy from raw total energies**: -10.5 eV per formula unit

Unit cell a=4.4035 b=7.6080 c=8.8787 alpha=106.71 beta=90.00 gamma=90.00
Positions (direct):
Ac 0.5000 0.2338 0.2053
Ac 0.5000 0.7662 0.7947
Ac 0.0000 0.2624 0.7936
Ac 0.0000 0.7376 0.2064
As 0.0000 0.0000 0.0000
Se 0.5000 0.5000 0.0000
I 0.5000 0.0000 0.5000
I 0.0000 0.5000 0.5000

---

# 5
Compound: Ac6As3Se2I
Source: the Alexandria database
Functional: PBE-GGA
Structure: optimized geometry

Computed properties:
**Formation energy from raw total energies**: -18.8 eV per formula unit

Unit cell a=4.5329 b=9.1635 c=10.1935 alpha=103.18 beta=102.85 gamma=90.00
Positions (direct):
Ac 0.3229 0.9173 0.6459
Ac 0.6651 0.5900 0.3302
Ac 0.6771 0.0827 0.3541
Ac 0.9989 0.2752 0.9978
Ac 0.0011 0.7248 0.0022
Ac 0.3349 0.4100 0.6698
As 0.5000 0.5000 0.0000
As 0.8368 0.1666 0.6735
As 0.1632 0.8334 0.3265
Se 0.8330 0.6667 0.6661
Se 0.1670 0.3333 0.3339
I 0.5000 0.0000 0.0000

---

# 6
Compound: Ac6As2Se3I
Source: the Alexandria database
Functional: PBE-GGA
Structure: optimized geometry

Computed properties:
**Formation energy from raw total energies**: -19.2 eV per formula unit

Unit cell a=4.5234 b=9.1145 c=10.1099 alpha=102.25 beta=102.93 gamma=90.00
Positions (direct):
Ac 0.3233 0.9039 0.6466
Ac 0.6694 0.5789 0.3388
Ac 0.6767 0.0961 0.3534
Ac 0.0040 0.2746 0.0080
Ac 0.9960 0.7254 0.9920
Ac 0.3306 0.4211 0.6612
As 0.8335 0.6680 0.6669
As 0.1665 0.3320 0.3331
Se 0.5000 0.5000 0.0000
Se 0.8382 0.1664 0.6763
Se 0.1618 0.8336 0.3237
I 0.5000 0.0000 0.0000

---

# 7
Compound: Ac6Si2AsI3
Source: the Alexandria database
Functional: PBE-GGA
Structure: optimized geometry

Computed properties:
**Formation energy from raw total energies**: -12.7 eV per formula unit

Unit cell a=7.9315 b=7.9315 c=8.5584 alpha=98.88 beta=98.88 gamma=120.00
Positions (direct):
Ac 0.9337 0.5965 0.8009
Ac 0.7292 0.7292 0.1991
Ac 0.0663 0.4035 0.1991
Ac 0.5965 0.9337 0.8009
Ac 0.2708 0.2708 0.8009
Ac 0.4035 0.0663 0.1991
Si 0.3334 0.6666 0.0000
Si 0.6666 0.3334 0.0000
As 0.0000 0.0000 0.0000
I 0.1667 0.8333 0.5000
I 0.8333 0.1667 0.5000
I 0.5000 0.5000 0.5000

---

# 8
Compound: Ac8Si3AsI4
Source: the Alexandria database
Functional: PBE-GGA
Structure: optimized geometry

Computed properties:
**Formation energy from raw total energies**: -16.4 eV per formula unit

Unit cell a=9.1634 b=9.7258 c=9.1630 alpha=118.08 beta=120.00 gamma=90.00
Positions (direct):
Ac 0.2350 0.6986 0.9636
Ac 0.2349 0.6986 0.4698
Ac 0.2672 0.3015 0.5343
Ac 0.7286 0.6986 0.9636
Ac 0.2714 0.3014 0.0364
Ac 0.7328 0.6985 0.4657
Ac 0.7651 0.3014 0.5302
Ac 0.7650 0.3014 0.0364
Si 0.5000 0.5000 0.0000
Si 0.5000 0.5000 0.5000
Si 0.0000 0.5000 0.5000
As 0.0000 0.5000 0.0000
I 0.5000 0.0000 0.0000
I 0.5000 0.0000 0.5000
I 0.0000 0.0000 0.0000
I 0.0000 0.0000 0.5000

---

# 9
Compound: Ac4SiAsI2
Source: the Alexandria database
Functional: PBE-GGA
Structure: optimized geometry

Computed properties:
**Formation energy from raw total energies**: -9.0 eV per formula unit

Unit cell a=4.5776 b=7.9220 c=8.5344 alpha=108.03 beta=90.00 gamma=90.00
Positions (direct):
Ac 0.5000 0.2286 0.1989
Ac 0.5000 0.7714 0.8011
Ac 0.0000 0.2626 0.8008
Ac 0.0000 0.7374 0.1992
Si 0.0000 0.0000 0.0000
As 0.5000 0.5000 0.0000
I 0.5000 0.0000 0.5000
I 0.0000 0.5000 0.5000

---

# 10
Compound: Ac8SiAs3I4
Source: the Alexandria database
Functional: PBE-GGA
Structure: optimized geometry

Computed properties:
**Formation energy from raw total energies**: -19.3 eV per formula unit

Unit cell a=9.1635 b=9.6186 c=9.1645 alpha=118.46 beta=120.00 gamma=90.00
Positions (direct):
Ac 0.2314 0.6999 0.9690
Ac 0.2308 0.6996 0.4616
Ac 0.2664 0.2998 0.5327
Ac 0.7377 0.6999 0.9690
Ac 0.2623 0.3001 0.0310
Ac 0.7336 0.7002 0.4673
Ac 0.7692 0.3004 0.5384
Ac 0.7686 0.3001 0.0310
Si 0.0000 0.5000 0.0000
As 0.5000 0.5000 0.0000
As 0.5000 0.5000 0.5000
As 0.0000 0.5000 0.5000
I 0.5000 0.0000 0.0000
I 0.5000 0.0000 0.5000
I 0.0000 0.0000 0.0000
I 0.0000 0.0000 0.5000

---

# 11
Compound: Ac4SnAsI2
Source: the Alexandria database
Functional: PBE-GGA
Structure: optimized geometry

Computed properties:
**Formation energy from raw total energies**: -8.7 eV per formula unit

Unit cell a=4.7126 b=8.1802 c=8.4023 alpha=108.92 beta=90.00 gamma=90.00
Positions (direct):
Ac 0.5000 0.2231 0.2061
Ac 0.5000 0.7769 0.7939
Ac 0.0000 0.2479 0.7866
Ac 0.0000 0.7521 0.2134
Sn 0.5000 0.5000 0.0000
As 0.0000 0.0000 0.0000
I 0.5000 0.0000 0.5000
I 0.0000 0.5000 0.5000

---

# 12
Compound: AcInAs
Source: the Alexandria database
Functional: PBE-GGA
Structure: optimized geometry

Computed properties:
**Excess energy over the best structure of this formula in the dataset**: 0.2707 eV/atom
**Formation energy**: -0.646 eV per atom

Unit cell a=4.2474 b=4.9107 c=4.9107 alpha=120.00 beta=90.00 gamma=90.00
Positions (direct):
Ac 0.9999 0.0000 0.0000
As 0.4999 0.3333 0.6667
In 0.5002 0.6667 0.3333

---

# 13
Compound: Ac3InAs
Source: the Alexandria database
Functional: PBE-GGA
Structure: optimized geometry

Computed properties:
**Excess energy over the best structure of this formula in the dataset**: 0.2283 eV/atom
**Formation energy**: -0.468 eV per atom

Unit cell a=5.9469 b=5.9469 c=5.9469 alpha=90.00 beta=90.00 gamma=90.00
Positions (direct):
Ac 0.0000 0.5000 0.0000
Ac 0.0000 0.0000 0.5000
Ac 0.5000 0.0000 0.0000
As 0.0000 0.0000 0.0000
In 0.5000 0.5000 0.5000

---

# 14
Compound: Ac4In2As
Source: the Alexandria database
Functional: PBE-GGA
Structure: optimized geometry

Computed properties:
**Excess energy over the best structure of this formula in the dataset**: 0.0000 eV/atom
**Formation energy**: -0.618 eV per atom

Unit cell a=4.8998 b=7.0227 c=8.5715 alpha=74.15 beta=73.39 gamma=69.58
Positions (direct):
Ac 0.0867 0.2000 0.6266
Ac 0.9133 0.8000 0.3734
Ac 0.3258 0.2639 0.0845
Ac 0.6742 0.7361 0.9155
As 0.0000 0.0000 0.0000
In 0.3752 0.5874 0.6622
In 0.6248 0.4126 0.3378

---

# 15
Compound: AcInAs2
Source: the Alexandria database
Functional: PBE-GGA
Structure: optimized geometry

Computed properties:
**Excess energy over the best structure of this formula in the dataset**: 0.0000 eV/atom
**Formation energy**: -0.645 eV per atom

Unit cell a=4.4101 b=4.4101 c=7.1493 alpha=72.04 beta=72.04 gamma=60.00
Positions (direct):
Ac 0.5000 0.5000 0.5000
As 0.2592 0.2592 0.2223
As 0.7408 0.7408 0.7777
In 0.0000 0.0000 0.0000

---

# 16
Compound: AcInAs2
Source: the Alexandria database
Functional: PBE-GGA
Structure: optimized geometry

Computed properties:
**Excess energy over the best structure of this formula in the dataset**: 0.0226 eV/atom
**Formation energy**: -0.622 eV per atom

Unit cell a=4.0993 b=5.0111 c=5.0111 alpha=90.00 beta=90.00 gamma=90.00
Positions (direct):
Ac 0.5000 0.0000 0.0000
As 0.0000 0.0000 0.5000
As 0.0000 0.5000 0.0000
In 0.5000 0.5000 0.5000

---

# 17
Compound: AcInAs4
Source: the Alexandria database
Functional: PBE-GGA
Structure: optimized geometry

Computed properties:
**Formation energy**: -0.294 eV per atom

Unit cell a=5.8707 b=5.8707 c=5.8707 alpha=60.00 beta=60.00 gamma=60.00
Positions (direct):
Ac 0.0000 0.0000 0.0000
As 0.6190 0.6190 0.1430
As 0.6190 0.1430 0.6190
As 0.6190 0.6190 0.6190
As 0.1430 0.6190 0.6190
In 0.2500 0.2500 0.2500

---

# 18
Compound: AcInAs2
Source: the Alexandria database
Functional: PBE-GGA
Structure: optimized geometry

Computed properties:
**Excess energy over the best structure of this formula in the dataset**: 0.1115 eV/atom
**Formation energy**: -0.533 eV per atom

Unit cell a=4.2365 b=4.2365 c=6.6880 alpha=90.00 beta=90.00 gamma=90.00
Positions (direct):
Ac 0.5000 0.5000 0.5000
As 0.0000 0.0000 0.6931
As 0.0000 0.0000 0.3069
In 0.5000 0.5000 0.0000

---

# 19
Compound: AcInAs
Source: the Alexandria database
Functional: PBE-GGA
Structure: optimized geometry

Computed properties:
**Excess energy over the best structure of this formula in the dataset**: 0.4077 eV/atom
**Formation energy**: -0.509 eV per atom

Unit cell a=3.8784 b=3.8784 c=6.2645 alpha=108.03 beta=108.03 gamma=90.00
Positions (direct):
Ac 0.0095 0.0095 0.0190
As 0.6855 0.6855 0.3709
In 0.3050 0.3050 0.6101

---

# 20
Compound: AcInAs2
Source: the Alexandria database
Functional: PBE-GGA
Structure: optimized geometry

Computed properties:
**Excess energy over the best structure of this formula in the dataset**: 0.1654 eV/atom
**Formation energy**: -0.479 eV per atom

Unit cell a=5.2947 b=5.2947 c=5.2947 alpha=60.00 beta=60.00 gamma=60.00
Positions (direct):
Ac 0.0000 0.0000 0.0000
As 0.2500 0.2500 0.2500
As 0.7500 0.7500 0.7500
In 0.5000 0.5000 0.5000

---

The calculation returns the following theoretical density values, one per record and in order: 7.540; 7.541; 7.515; 7.669; 7.743; 7.855; 7.016; 6.946; 7.137; 7.324; 7.345; 7.801; 6.875; 7.747; 7.256; 7.931; 7.445; 6.802; 8.168; 7.779 g cm⁻³.
The calculation returns the following calculated total energy values, one per record and in order: -40.78; -64.63; -63.32; -38.19; -65.96; -65.14; -57.51; -76.40; -38.57; -77.75; -36.93; -13.43; -22.05; -30.88; -18.73; -18.63; -27.21; -18.28; -13.02; -18.06 eV for the cell shown.